The following is a PBE calculation of an optimized crystal structure of BiPd6Au3, from the Alexandria database.

Cell lengths 7.111, 7.111, 7.193 Å; angles 90.00, 90.00, 94.72 degrees
Atoms (fractional coordinates):
1 Bi 0.149 0.851 0.500
2 Bi 0.851 0.149 0.000
3 Pd 0.000 0.498 0.250
4 Pd 0.000 0.502 0.750
5 Pd 0.144 0.147 0.748
6 Pd 0.147 0.144 0.248
7 Pd 0.372 0.628 0.309
8 Pd 0.373 0.627 0.689
9 Pd 0.498 0.000 0.750
10 Pd 0.502 0.000 0.250
11 Pd 0.627 0.373 0.189
12 Pd 0.628 0.372 0.809
13 Pd 0.853 0.856 0.748
14 Pd 0.856 0.853 0.248
15 Au 0.184 0.816 0.999
16 Au 0.284 0.410 0.999
17 Au 0.410 0.284 0.499
18 Au 0.590 0.716 0.999
19 Au 0.716 0.590 0.499
20 Au 0.816 0.184 0.499

For the formation energy, the calculation gives -0.002 eV per atom. As for the space group: No. 36.